Entry 1:
VASP calculation (GGA-PBE) on an optimized crystal structure of La2Si4CN6. Values from VASP.

Structure (Quantum ESPRESSO input):
```
&SYSTEM
  ibrav = 0, nat = 52, ntyp = 4
/
ATOMIC_SPECIES
La 138.91 La.upf
Si 28.09 Si.upf
N 14.01 N.upf
C 12.01 C.upf
CELL_PARAMETERS angstrom
-1.754 -4.435 -3.712
9.795 -2.109 -2.109
0.261 -6.853 8.065
ATOMIC_POSITIONS crystal
La 0.250 0.091 0.062
Si 0.003 0.773 0.169
N 0.250 0.535 0.894
N 0.009 0.223 0.488
Si 0.750 0.018 0.240
C 0.250 0.295 0.737
N 0.991 0.777 0.512
Si 0.503 0.227 0.831
N 0.491 0.223 0.488
Si 0.250 0.703 0.924
N 0.750 0.465 0.106
La 0.250 0.449 0.104
Si 0.497 0.773 0.169
C 0.750 0.705 0.263
N 0.980 0.446 0.334
La 0.750 0.909 0.938
N 0.009 0.723 0.012
N 0.750 0.269 0.754
Si 0.497 0.273 0.331
N 0.750 0.965 0.394
N 0.520 0.446 0.334
Si 0.750 0.797 0.424
La 0.750 0.051 0.604
N 0.520 0.946 0.166
N 0.750 0.769 0.746
C 0.750 0.205 0.237
Si 0.997 0.227 0.831
Si 0.750 0.297 0.076
N 0.509 0.277 0.988
La 0.750 0.551 0.896
N 0.509 0.777 0.512
N 0.480 0.054 0.834
N 0.480 0.554 0.666
N 0.250 0.231 0.254
Si 0.503 0.727 0.669
Si 0.997 0.727 0.669
N 0.991 0.277 0.988
N 0.491 0.723 0.012
C 0.250 0.795 0.763
N 0.250 0.035 0.606
N 0.980 0.946 0.166
Si 0.003 0.273 0.331
N 0.020 0.054 0.834
Si 0.250 0.982 0.760
Si 0.250 0.203 0.576
Si 0.750 0.518 0.260
N 0.250 0.731 0.246
Si 0.250 0.482 0.740
La 0.250 0.591 0.438
La 0.250 0.949 0.396
N 0.020 0.554 0.666
La 0.750 0.409 0.562
```

Results
Formation energy from raw total energies in eV per atom: -1.173
V in Å³ per atom: 12.599
Raw total energy in eV/cell: -423.9

=====

Entry 2:
VASP calculation (GGA-PBE) on an optimized crystal structure of K2Tl3In4Ga. Values from VASP.

Structure (Quantum ESPRESSO input):
```
&SYSTEM
  ibrav = 0, nat = 10, ntyp = 4
/
ATOMIC_SPECIES
Ga 69.72 Ga.upf
K 39.10 K.upf
In 114.82 In.upf
Tl 204.38 Tl.upf
CELL_PARAMETERS angstrom
-1.189 2.069 -4.426
-0.524 -4.583 -2.001
-12.346 -0.031 3.303
ATOMIC_POSITIONS crystal
Ga 0.500 0.500 0.500
K 0.500 0.000 0.257
In 0.500 0.000 0.625
In 0.500 0.500 0.000
In 0.000 0.000 0.000
K 0.000 0.500 0.743
In 0.000 0.500 0.375
Tl 0.000 0.500 0.144
Tl 0.500 0.000 0.856
Tl 0.000 0.000 0.500
```

Results
Formation enthalpy at 0 K in eV per atom: -0.06
V in Å³ per atom: 32.311
Raw total energy in eV/cell: -23.9

=====

Entry 3:
VASP calculation (GGA-PBE) on an optimized crystal structure of BaAl2Se4. Values from VASP.

Structure (Quantum ESPRESSO input):
```
&SYSTEM
  ibrav = 0, nat = 14, ntyp = 3
/
ATOMIC_SPECIES
Se 78.96 Se.upf
Al 26.98 Al.upf
Ba 137.33 Ba.upf
CELL_PARAMETERS angstrom
-6.082 -1.439 -2.026
4.224 -4.538 2.177
-3.956 1.503 10.810
ATOMIC_POSITIONS crystal
Se 0.000 0.500 0.659
Se 0.671 0.852 0.500
Al 0.258 0.744 0.000
Se 0.852 0.671 0.000
Se 0.329 0.148 0.500
Al 0.744 0.258 0.500
Se 0.148 0.329 0.000
Ba 0.000 0.000 0.250
Al 0.742 0.256 0.000
Se 0.500 0.000 0.841
Al 0.256 0.742 0.500
Se 0.000 0.500 0.341
Ba 0.000 0.000 0.750
Se 0.500 0.000 0.159
```

Results
Formation energy from raw total energies in eV per atom: -1.315
V in Å³ per atom: 29.992
Raw total energy in eV/cell: -65.1

=====

Entry 4:
VASP calculation (GGA-PBE) on an optimized crystal structure of Ac3P2PtRh9. Values from VASP.

Structure (Quantum ESPRESSO input):
```
&SYSTEM
  ibrav = 0, nat = 15, ntyp = 4
/
ATOMIC_SPECIES
Rh 102.91 Rh.upf
Ac 227.00 Ac.upf
P 30.97 P.upf
Pt 195.08 Pt.upf
CELL_PARAMETERS angstrom
-5.125 -3.214 0.802
3.334 -0.784 -5.051
4.867 -6.698 4.252
ATOMIC_POSITIONS crystal
Rh 0.306 0.153 0.723
Ac 0.667 0.333 0.366
Ac 0.333 0.667 0.634
Rh 0.153 0.306 0.277
Rh 0.694 0.847 0.277
Rh 0.153 0.847 0.277
Rh 0.500 0.500 0.000
Rh 0.847 0.694 0.723
P 0.667 0.333 0.841
Ac 0.000 0.000 0.000
Pt 0.000 0.000 0.500
Rh 0.000 0.500 0.000
Rh 0.500 0.000 0.000
Rh 0.847 0.153 0.723
P 0.333 0.667 0.159
```

Results
Formation enthalpy at 0 K in eV per atom: -0.57
V in Å³ per atom: 20.013
Raw total energy in eV/cell: -104.0